# 1
# GGA-PBE Sm3Cd7Au4, optimized geometry
# Energy of formation: -0.44 eV/atom
# ρ: 10.3 g/cm3
data_Sm3Cd7Au4
_cell_length_a 4.427
_cell_length_b 8.632
_cell_length_c 9.368
_cell_angle_alpha 74.01
_cell_angle_beta 76.33
_cell_angle_gamma 75.14
_space_group_name_H-M_alt 'P 1'
_space_group_IT_number 1
loop_
_space_group_symop_operation_xyz
'x,y,z'
loop_
_atom_site_label
_atom_site_fract_x
_atom_site_fract_y
_atom_site_fract_z
Sm1 0.301 0.186 0.213
Sm2 0.699 0.814 0.787
Sm3 0.000 0.500 0.500
Cd1 0.330 0.831 0.509
Cd2 0.484 0.212 0.821
Cd3 0.834 0.394 0.937
Cd4 0.670 0.169 0.491
Cd5 0.166 0.606 0.063
Cd6 0.000 0.000 0.000
Cd7 0.516 0.788 0.179
Au1 0.653 0.441 0.253
Au2 0.347 0.559 0.747
Au3 0.882 0.915 0.321
Au4 0.118 0.085 0.679

=====

# 2
# GGA-PBE U2SiOs, optimized geometry
# Relative energy among the computed polymorphs: 0.00 eV/f.u.
# ρ: 15.5 g/cm3
# E_form (uncorrected): -6.15 kcal/mol of atoms
data_U2SiOs
_cell_length_a 4.421
_cell_length_b 5.548
_cell_length_c 6.173
_cell_angle_alpha 101.52
_cell_angle_beta 90.00
_cell_angle_gamma 90.00
_space_group_name_H-M_alt 'P 1'
_space_group_IT_number 1
loop_
_space_group_symop_operation_xyz
'x,y,z'
loop_
_atom_site_label
_atom_site_fract_x
_atom_site_fract_y
_atom_site_fract_z
U1 0.250 0.887 0.518
U2 0.750 0.113 0.482
U3 0.250 0.785 0.085
U4 0.750 0.215 0.915
Si1 0.250 0.419 0.679
Si2 0.750 0.581 0.321
Os1 0.250 0.319 0.243
Os2 0.750 0.681 0.757

=====

# 3
# GGA-PBE Rb5Cd2Au4, optimized geometry
# Energy of formation: -0.19 eV/atom
# Relative energy among the computed polymorphs: 0.00 eV/f.u.
# ρ: 5.3 g/cm3
data_Rb5Cd2Au4
_cell_length_a 5.382
_cell_length_b 9.468
_cell_length_c 9.178
_cell_angle_alpha 88.68
_cell_angle_beta 107.05
_cell_angle_gamma 90.00
_space_group_name_H-M_alt 'P 1'
_space_group_IT_number 1
loop_
_space_group_symop_operation_xyz
'x,y,z'
loop_
_atom_site_label
_atom_site_fract_x
_atom_site_fract_y
_atom_site_fract_z
Rb1 0.852 0.519 0.704
Rb2 0.148 0.481 0.296
Rb3 0.840 0.014 0.679
Rb4 0.500 0.000 0.000
Rb5 0.160 0.986 0.321
Cd1 0.474 0.355 0.947
Cd2 0.526 0.645 0.053
Au1 0.321 0.244 0.642
Au2 0.004 0.745 0.008
Au3 0.679 0.756 0.358
Au4 0.996 0.255 0.992

=====

# 4
# GGA-PBE La2CdAs3Pt4, optimized geometry
# Energy of formation: -0.86 eV/atom
# ρ: 11.2 g/cm3
data_La2CdAs3Pt4
_cell_length_a 4.378
_cell_length_b 4.378
_cell_length_c 10.782
_cell_angle_alpha 90.00
_cell_angle_beta 90.00
_cell_angle_gamma 90.00
_space_group_name_H-M_alt 'P 1'
_space_group_IT_number 1
loop_
_space_group_symop_operation_xyz
'x,y,z'
loop_
_atom_site_label
_atom_site_fract_x
_atom_site_fract_y
_atom_site_fract_z
La1 0.500 0.000 0.235
La2 0.000 0.500 0.765
Cd1 0.500 0.500 0.500
As1 0.000 0.000 0.500
As2 0.500 0.000 0.873
As3 0.000 0.500 0.127
Pt1 0.500 0.500 0.000
Pt2 0.000 0.000 0.000
Pt3 0.500 0.000 0.647
Pt4 0.000 0.500 0.353

=====

Energy in eV/atom, matching the order above: -2.845, -10.074, -1.991, -5.746